# 1
First-principles (GGA-PBE) data for a relaxed structure of SrSi4Ni, as listed in Alexandria.

Calculated values
- DOS(E_F) (states/eV/cell) = 4.08
- space-group type = F-43m
- formation energy without anion corrections (eV/f.u.) = 1.67

a = 5.282 Å, b = 5.282 Å, c = 5.282 Å
α = 60.00°, β = 60.00°, γ = 60.00°
Positions (direct):
1 Sr 0.000 0.000 0.000
2 Si 0.377 0.377 0.377
3 Si 0.377 0.377 0.868
4 Si 0.377 0.868 0.377
5 Si 0.868 0.377 0.377
6 Ni 0.750 0.750 0.750

# 2
First-principles (GGA-PBE) data for a relaxed structure of SrSiNi3, as listed in Alexandria.

Calculated values
- E above lowest polymorph (meV per atom) = 198.8
- DOS(E_F) (states/eV/cell) = 4.87
- space-group type = Pm-3m
- formation energy without anion corrections (eV/f.u.) = -0.41

a = 4.428 Å, b = 4.428 Å, c = 4.428 Å
α = 90.00°, β = 90.00°, γ = 90.00°
Positions (direct):
1 Sr 0.000 0.000 0.000
2 Si 0.500 0.500 0.500
3 Ni 0.000 0.500 0.500
4 Ni 0.500 0.000 0.500
5 Ni 0.500 0.500 0.000

# 3
First-principles (GGA-PBE) data for a relaxed structure of Sr4SiNi, as listed in Alexandria.

Calculated values
- DOS(E_F) (states/eV/cell) = 4.50
- space-group type = F-43m
- formation energy without anion corrections (eV/f.u.) = 5.54

a = 6.665 Å, b = 6.665 Å, c = 6.665 Å
α = 60.00°, β = 60.00°, γ = 60.00°
Positions (direct):
1 Sr 0.125 0.125 0.125
2 Sr 0.125 0.125 0.624
3 Sr 0.125 0.624 0.125
4 Sr 0.624 0.125 0.125
5 Si 0.500 0.500 0.500
6 Ni 0.750 0.750 0.750

# 4
First-principles (GGA-PBE) data for a relaxed structure of SrSi3Ni3, as listed in Alexandria.

Calculated values
- E above lowest polymorph (meV per atom) = 0.0
- DOS(E_F) (states/eV/cell) = 6.38
- space-group type = R-3
- formation energy without anion corrections (eV/f.u.) = -2.14

a = 8.212 Å, b = 8.212 Å, c = 8.212 Å
α = 43.64°, β = 43.64°, γ = 43.64°
Positions (direct):
1 Sr 0.169 0.169 0.169
2 Sr 0.831 0.831 0.831
3 Si 0.177 0.663 0.368
4 Si 0.337 0.632 0.823
5 Si 0.368 0.177 0.663
6 Si 0.632 0.823 0.337
7 Si 0.663 0.368 0.177
8 Si 0.823 0.337 0.632
9 Ni 0.063 0.576 0.256
10 Ni 0.256 0.063 0.576
11 Ni 0.424 0.744 0.937
12 Ni 0.576 0.256 0.063
13 Ni 0.744 0.937 0.424
14 Ni 0.937 0.424 0.744